Computed, not measured: an optimized crystal structure of NaSi2Te4 at the PBE level of DFT.

POSCAR file:
```
NaSi2Te4
1.0
-5.813 3.379 -1.301
1.198 -6.332 -2.320
-0.140 -0.814 6.799
Na Si Te
1 2 4
Direct
0.500 0.500 0.000
0.250 0.750 0.500
0.750 0.250 0.500
0.324 0.161 0.485
0.839 0.324 0.163
0.161 0.676 0.837
0.676 0.839 0.515
```

Energy relative to the elements, uncorrected in eV/atom: -0.208
Spin magnetization in Bohr magnetons per cell: 0.00
Final energy in eV per atom: -3.741


Computed, not measured: an optimized crystal structure of CrSb2TeP at the PBE level of DFT.

POSCAR file:
```
CrSb2TeP
1.0
5.049 0.000 0.000
0.000 5.049 0.000
0.000 0.000 5.230
Sb Te P Cr
2 1 1 1
Direct
0.000 0.500 0.000
0.500 0.000 0.000
0.000 0.000 0.500
0.000 0.000 0.000
0.500 0.500 0.500
```

Energy relative to the elements, uncorrected in eV/atom: 1.246
Spin magnetization in Bohr magnetons per cell: 0.30
Final energy in eV per atom: -4.038


Computed, not measured: an optimized crystal structure of Pm2Tm3Hg7 at the PBE level of DFT.

POSCAR file:
```
Pm2Tm3Hg7
1.0
5.359 0.000 0.000
0.000 5.243 0.000
0.000 -2.622 11.632
Pm Tm Hg
2 3 7
Direct
0.000 0.854 0.709
0.000 0.146 0.291
0.500 0.500 0.000
0.500 0.660 0.320
0.500 0.340 0.680
0.000 0.427 0.854
0.000 0.721 0.441
0.000 0.000 0.000
0.000 0.573 0.146
0.500 0.079 0.157
0.500 0.921 0.843
0.000 0.279 0.559
```

E_form in meV per atom: -278
Spin magnetization in Bohr magnetons per cell: 0.00
Final energy in eV per atom: -2.363


Computed, not measured: an optimized crystal structure of V2ReIr at the PBE level of DFT.

POSCAR file:
```
V2ReIr
1.0
-5.580 -3.026 -2.664
3.427 -5.956 -0.415
-1.874 -5.115 0.839
Re Ir V
2 2 4
Direct
0.500 0.500 0.000
0.250 0.750 0.500
0.000 0.000 0.000
0.750 0.250 0.500
0.627 0.125 0.250
0.123 0.625 0.250
0.375 0.373 0.750
0.875 0.877 0.750
```

E_form in meV per atom: 406
Spin magnetization in Bohr magnetons per cell: 0.00
Final energy in eV per atom: -9.481


Computed, not measured: an optimized crystal structure of TmCo3P2 at the PBE level of DFT.

POSCAR file:
```
TmCo3P2
1.0
3.629 0.000 0.000
-1.814 7.044 -2.257
0.000 0.093 9.042
Tm Co P
3 9 6
Direct
0.156 0.311 0.698
0.844 0.689 0.302
0.000 0.000 0.000
0.045 0.091 0.335
0.955 0.909 0.665
0.218 0.436 0.394
0.782 0.564 0.606
0.626 0.251 0.210
0.374 0.749 0.790
0.500 0.000 0.500
0.322 0.644 0.035
0.678 0.356 0.965
0.198 0.396 0.132
0.802 0.604 0.868
0.465 0.930 0.222
0.535 0.070 0.778
0.360 0.721 0.545
0.640 0.279 0.455
```

E_form in meV per atom: -929
Spin magnetization in Bohr magnetons per cell: 0.00
Final energy in eV per atom: -7.031


Computed, not measured: an optimized crystal structure of Nd2YTm9 at the PBE level of DFT.

POSCAR file:
```
Nd2YTm9
1.0
3.484 0.000 0.000
0.000 11.156 0.000
0.000 -5.578 9.661
Nd Y Tm
2 1 9
Direct
0.000 0.333 0.667
0.000 0.667 0.333
0.000 0.000 0.000
0.000 0.000 0.500
0.000 0.500 0.500
0.000 0.500 0.000
0.500 0.349 0.175
0.500 0.175 0.825
0.500 0.175 0.349
0.500 0.825 0.651
0.500 0.825 0.175
0.500 0.651 0.825
```

E_form in meV per atom: 73
Spin magnetization in Bohr magnetons per cell: 0.00
Final energy in eV per atom: -4.614